(1)
VASP calculation (PBE) on Tl12Bi6Pb after structural relaxation.

Output
E_form, meV/atom: 22.9

abc: 8.590 8.590 8.590
angles: 90.14 90.14 90.14
Fractional positions:
1 Tl 0.575 0.193 0.481
2 Tl 0.193 0.481 0.575
3 Tl 0.481 0.575 0.193
4 Tl 0.425 0.807 0.519
5 Tl 0.807 0.519 0.425
6 Tl 0.519 0.425 0.807
7 Tl 0.950 0.849 0.625
8 Tl 0.375 0.050 0.151
9 Tl 0.151 0.375 0.050
10 Tl 0.050 0.151 0.375
11 Tl 0.625 0.950 0.849
12 Tl 0.849 0.625 0.950
13 Bi 0.271 0.111 0.739
14 Bi 0.889 0.261 0.729
15 Bi 0.261 0.729 0.889
16 Bi 0.729 0.889 0.261
17 Bi 0.111 0.739 0.271
18 Bi 0.739 0.271 0.111
19 Pb 0.000 0.000 0.000



(2)
VASP calculation (PBE) on Tl6BiPb12 after structural relaxation.

Output
E_form, meV/atom: 60.6

abc: 9.071 9.071 9.071
angles: 106.38 106.38 106.38
Fractional positions:
1 Tl 0.079 0.193 0.462
2 Tl 0.807 0.538 0.921
3 Tl 0.538 0.921 0.807
4 Tl 0.921 0.807 0.538
5 Tl 0.193 0.462 0.079
6 Tl 0.462 0.079 0.193
7 Bi 0.000 0.000 0.000
8 Pb 0.481 0.189 0.588
9 Pb 0.189 0.588 0.481
10 Pb 0.588 0.481 0.189
11 Pb 0.519 0.811 0.412
12 Pb 0.811 0.412 0.519
13 Pb 0.412 0.519 0.811
14 Pb 0.279 0.139 0.844
15 Pb 0.156 0.721 0.861
16 Pb 0.861 0.156 0.721
17 Pb 0.721 0.861 0.156
18 Pb 0.844 0.279 0.139
19 Pb 0.139 0.844 0.279



(3)
VASP calculation (PBE) on Tl2Bi4Pb5 after structural relaxation.

Output
Energy relative to the lowest polymorph listed for this composition, meV per atom: 17.0
E_form, meV/atom: 64.2

abc: 7.015 7.277 9.046
angles: 75.45 67.19 61.19
Fractional positions:
1 Tl 0.292 0.643 0.773
2 Tl 0.708 0.357 0.227
3 Bi 0.275 0.987 0.464
4 Bi 0.725 0.013 0.536
5 Bi 0.727 0.679 0.867
6 Bi 0.273 0.321 0.133
7 Pb 0.226 0.181 0.831
8 Pb 0.774 0.819 0.169
9 Pb 0.000 0.500 0.500
10 Pb 0.761 0.181 0.831
11 Pb 0.239 0.819 0.169



(4)
VASP calculation (PBE) on Tl4Bi2Pb5 after structural relaxation.

Output
Energy relative to the lowest polymorph listed for this composition, meV per atom: 0.0
E_form, meV/atom: 11.6

abc: 3.419 8.860 11.661
angles: 96.49 90.00 90.00
Fractional positions:
1 Tl 0.500 0.697 0.556
2 Tl 0.500 0.157 0.905
3 Tl 0.500 0.303 0.444
4 Tl 0.500 0.843 0.095
5 Bi 0.000 0.056 0.637
6 Bi 0.000 0.944 0.363
7 Pb 0.000 0.574 0.287
8 Pb 0.000 0.198 0.172
9 Pb 0.000 0.500 0.000
10 Pb 0.000 0.802 0.828
11 Pb 0.000 0.426 0.713



(5)
VASP calculation (PBE) on Tl3Bi3Pb2 after structural relaxation.

Output
Energy relative to the lowest polymorph listed for this composition, meV per atom: 22.1
E_form, meV/atom: 14.6

abc: 3.515 9.394 9.394
angles: 120.00 90.00 90.00
Fractional positions:
1 Tl 0.000 0.236 0.000
2 Tl 0.000 0.000 0.236
3 Tl 0.000 0.764 0.764
4 Bi 0.500 0.606 0.000
5 Bi 0.500 0.000 0.606
6 Bi 0.500 0.394 0.394
7 Pb 0.000 0.333 0.667
8 Pb 0.000 0.667 0.333



(6)
VASP calculation (PBE) on Tl3Bi2Pb6 after structural relaxation.

Output
Energy relative to the lowest polymorph listed for this composition, meV per atom: 26.0
E_form, meV/atom: 97.5

abc: 4.625 4.625 18.104
angles: 97.34 97.34 90.00
Fractional positions:
1 Tl 0.000 0.000 0.000
2 Tl 0.827 0.827 0.655
3 Tl 0.173 0.173 0.345
4 Bi 0.359 0.359 0.719
5 Bi 0.641 0.641 0.281
6 Pb 0.072 0.572 0.145
7 Pb 0.572 0.072 0.145
8 Pb 0.928 0.428 0.855
9 Pb 0.428 0.928 0.855
10 Pb 0.733 0.733 0.467
11 Pb 0.267 0.267 0.533



(7)
VASP calculation (PBE) on Tl2BiPb8 after structural relaxation.

Output
Energy relative to the lowest polymorph listed for this composition, meV per atom: 0.0
E_form, meV/atom: 29.6

abc: 5.928 6.177 10.040
angles: 83.93 107.17 90.00
Fractional positions:
1 Tl 0.226 0.641 0.452
2 Tl 0.774 0.359 0.548
3 Bi 0.500 0.000 0.000
4 Pb 0.589 0.451 0.179
5 Pb 0.324 0.085 0.648
6 Pb 0.137 0.184 0.275
7 Pb 0.043 0.733 0.086
8 Pb 0.863 0.816 0.725
9 Pb 0.676 0.915 0.352
10 Pb 0.411 0.549 0.821
11 Pb 0.957 0.267 0.914



(8)
VASP calculation (PBE) on Tl6BiPb after structural relaxation.

Output
E_form, meV/atom: -8.4

abc: 4.960 7.092 7.092
angles: 89.90 90.00 90.00
Fractional positions:
1 Tl 0.500 0.000 0.500
2 Tl 0.500 0.500 0.000
3 Tl 0.000 0.248 0.248
4 Tl 0.000 0.752 0.752
5 Tl 0.000 0.751 0.249
6 Tl 0.000 0.249 0.751
7 Bi 0.500 0.000 0.000
8 Pb 0.500 0.500 0.500



Which of these has the lowest E_form?
Tl6BiPb